First-principles (GGA-PBE) data for crystalline KHgS at its relaxed geometry, as listed in Alexandria via LeMat-Bulk.

Summary:
* magnetic moment: 0.0 μB/cell
* E above lowest polymorph: 0.0 meV/atom
* E_tot: -0.1758 Ry/atom

Structure (CIF):
```
data_KHgS
_chemical_formula_sum 'K4 Hg4 S4'
_cell_length_a 4.508
_cell_length_b 5.692
_cell_length_c 15.696
_cell_angle_alpha 90.00
_cell_angle_beta 90.00
_cell_angle_gamma 90.00
_space_group_name_H-M_alt 'I m m m'
_space_group_IT_number 71
_space_group_name_Hall '-I 2 2'
loop_
_atom_site_label
_atom_site_fract_x
_atom_site_fract_y
_atom_site_fract_z
_atom_site_occupancy
K1 0.000 0.000 0.166 1
Hg1 0.000 0.265 0.500 1
S1 0.000 0.000 0.364 1
```



First-principles (GGA-PBE) data for crystalline Mo3Rh5S12 at its relaxed geometry, as listed in Alexandria via LeMat-Bulk.

Summary:
* magnetic moment: 0.0 μB/cell
* E_tot: -0.4507 Ry/atom
* D(E_F): 91.31 states/eV per cell

Structure (CIF):
```
data_Mo3Rh5S12
_chemical_formula_sum 'Mo24 Rh40 S96'
_cell_length_a 14.042
_cell_length_b 14.042
_cell_length_c 14.042
_cell_angle_alpha 90.00
_cell_angle_beta 90.00
_cell_angle_gamma 90.00
_space_group_name_H-M_alt 'I a -3 d'
_space_group_IT_number 230
_space_group_name_Hall '-I 4bd 2c 3'
loop_
_atom_site_label
_atom_site_fract_x
_atom_site_fract_y
_atom_site_fract_z
_atom_site_occupancy
Mo1 0.000 0.250 0.125 1
Rh1 0.000 0.000 0.000 1
Rh2 0.000 0.250 0.375 1
S1 0.018 0.069 0.654 1
```